Record 1
Entry from the Alexandria database: TlAg5Au6 after structural relaxation (GGA-PBE).

Output
ρ   14.37 g cm⁻³
ΔE_f   -0.014 eV/atom

Geometry as CIF:
```
data_TlAg5Au6
_cell_length_a 9.513
_cell_length_b 12.862
_cell_length_c 3.999
_cell_angle_alpha 90.00
_cell_angle_beta 114.60
_cell_angle_gamma 90.00
_symmetry_space_group_name_H-M 'C 1 2/m 1'
_symmetry_Int_Tables_number 12
_symmetry_space_group_name_Hall '-C 2y'
loop_
_atom_site_label
_atom_site_type_symbol
_atom_site_fract_x
_atom_site_fract_y
_atom_site_fract_z
Tl1 Tl 0.000 0.000 0.000
Ag1 Ag 0.000 0.172 0.500
Ag2 Ag 0.000 0.335 0.000
Ag3 Ag 0.000 0.500 0.500
Au1 Au 0.241 0.500 0.240
Au2 Au 0.246 0.331 0.746
```


Record 2
Entry from the Alexandria database: AlCd2Re after structural relaxation (GGA-PBE).

Output
ρ   9.50 g cm⁻³
ΔE_f   0.713 eV/atom

Geometry as CIF:
```
data_AlCd2Re
_cell_length_a 3.855
_cell_length_b 3.855
_cell_length_c 20.605
_cell_angle_alpha 90.00
_cell_angle_beta 90.00
_cell_angle_gamma 90.00
_symmetry_space_group_name_H-M 'I -4 2 d'
_symmetry_Int_Tables_number 122
_symmetry_space_group_name_Hall 'I -4 2bw'
loop_
_atom_site_label
_atom_site_type_symbol
_atom_site_fract_x
_atom_site_fract_y
_atom_site_fract_z
Al1 Al 0.000 0.000 0.000
Cd1 Cd 0.242 0.250 0.625
Re1 Re 0.000 0.000 0.500
```


Record 3
Entry from the Alexandria database: DyHoErCd after structural relaxation (GGA-PBE).

Output
ρ   8.81 g cm⁻³
ΔE_f   -0.142 eV/atom
Offset from the most stable computed form   0.000 eV/atom

Geometry as CIF:
```
data_DyHoErCd
_cell_length_a 3.560
_cell_length_b 3.560
_cell_length_c 9.030
_cell_angle_alpha 90.00
_cell_angle_beta 90.00
_cell_angle_gamma 90.00
_symmetry_space_group_name_H-M 'P 4 m m'
_symmetry_Int_Tables_number 99
_symmetry_space_group_name_Hall 'P 4 -2'
loop_
_atom_site_label
_atom_site_type_symbol
_atom_site_fract_x
_atom_site_fract_y
_atom_site_fract_z
Dy1 Dy 0.000 0.000 0.000
Ho1 Ho 0.000 0.000 0.540
Er1 Er 0.500 0.500 0.271
Cd1 Cd 0.500 0.500 0.769
```


Record 4
Entry from the Alexandria database: PaNiHg after structural relaxation (GGA-PBE).

Output
ρ   13.62 g cm⁻³
ΔE_f   -0.072 eV/atom
Offset from the most stable computed form   0.190 eV/atom

Geometry as CIF:
```
data_PaNiHg
_cell_length_a 4.6524
_cell_length_b 4.6524
_cell_length_c 3.1885
_cell_angle_alpha 90.00
_cell_angle_beta 90.00
_cell_angle_gamma 120.00
_symmetry_space_group_name_H-M 'P -6 m 2'
_symmetry_Int_Tables_number 187
_symmetry_space_group_name_Hall 'P -6 2'
loop_
_atom_site_label
_atom_site_type_symbol
_atom_site_fract_x
_atom_site_fract_y
_atom_site_fract_z
Pa1 Pa 0.0000 0.0000 0.0000
Ni1 Ni 0.3333 0.6667 0.5000
Hg1 Hg 0.6667 0.3333 0.5000
```


Record 5
Entry from the Alexandria database: YZr3S after structural relaxation (GGA-PBE).

Output
ρ   5.41 g cm⁻³
Energy relative to the elements, uncorrected   -0.54 eV/atom

Geometry as CIF:
```
data_YZr3S
_cell_length_a 4.949
_cell_length_b 4.949
_cell_length_c 4.949
_cell_angle_alpha 90.00
_cell_angle_beta 90.00
_cell_angle_gamma 90.00
_symmetry_space_group_name_H-M 'P m -3 m'
_symmetry_Int_Tables_number 221
_symmetry_space_group_name_Hall '-P 4 2 3'
loop_
_atom_site_label
_atom_site_type_symbol
_atom_site_fract_x
_atom_site_fract_y
_atom_site_fract_z
Y1 Y 0.000 0.000 0.000
Zr1 Zr 0.000 0.500 0.500
S1 S 0.500 0.500 0.500
```


Record 6
Entry from the Alexandria database: K2OsRh after structural relaxation (GGA-PBE).

Output
ρ   7.37 g cm⁻³
ΔE_f   1.220 eV/atom
Offset from the most stable computed form   0.637 eV/atom

Geometry as CIF:
```
data_K2OsRh
_cell_length_a 3.897
_cell_length_b 3.897
_cell_length_c 11.023
_cell_angle_alpha 90.00
_cell_angle_beta 90.00
_cell_angle_gamma 90.00
_symmetry_space_group_name_H-M 'I 4/m m m'
_symmetry_Int_Tables_number 139
_symmetry_space_group_name_Hall '-I 4 2'
loop_
_atom_site_label
_atom_site_type_symbol
_atom_site_fract_x
_atom_site_fract_y
_atom_site_fract_z
K1 K 0.000 0.500 0.250
Os1 Os 0.000 0.000 0.000
Rh1 Rh 0.000 0.000 0.500
```


Copy entry 2 word for word.
Entry from the Alexandria database: AlCd2Re after structural relaxation (GGA-PBE).

Output
ρ   9.50 g cm⁻³
ΔE_f   0.713 eV/atom

Geometry as CIF:
```
data_AlCd2Re
_cell_length_a 3.855
_cell_length_b 3.855
_cell_length_c 20.605
_cell_angle_alpha 90.00
_cell_angle_beta 90.00
_cell_angle_gamma 90.00
_symmetry_space_group_name_H-M 'I -4 2 d'
_symmetry_Int_Tables_number 122
_symmetry_space_group_name_Hall 'I -4 2bw'
loop_
_atom_site_label
_atom_site_type_symbol
_atom_site_fract_x
_atom_site_fract_y
_atom_site_fract_z
Al1 Al 0.000 0.000 0.000
Cd1 Cd 0.242 0.250 0.625
Re1 Re 0.000 0.000 0.500
```